Record 1
FePb2Se: optimized geometry, PBE-GGA.

a = 9.620 Å, b = 9.620 Å, c = 9.620 Å
α = 20.69°, β = 20.69°, γ = 20.69°
Element x y z (fractional)
Fe1 0.000 0.000 0.000
Pb1 0.517 0.517 0.517
Pb2 0.741 0.741 0.741
Se1 0.288 0.288 0.288

Calculated values
The value obtained for the uncorrected formation energy is 38 meV/atom. Its total energy is -0.1765 hartree per atom. The calculation puts the density of states at the Fermi level at 3.038 states/eV/cell.

=====

Record 2
Fe2PbSe: optimized geometry, PBE-GGA.

a = 4.293 Å, b = 4.293 Å, c = 6.459 Å
α = 103.04°, β = 103.04°, γ = 45.07°
Element x y z (fractional)
Fe1 0.000 0.000 0.000
Fe2 0.730 0.730 0.140
Pb1 0.230 0.230 0.741
Se1 0.468 0.468 0.281

Calculated values
The value obtained for the uncorrected formation energy is 158 meV/atom. As for the offset from the most stable computed form: 0.13 eV/f.u. Its total energy is -0.2158 hartree per atom. The calculation puts the density of states at the Fermi level at 2.816 states/eV/cell.

=====

> uncorrected formation energy of number 2 (Fe2PbSe)?

158 meV/atom